A plane-wave DFT calculation with PBE was carried out for crystalline Zn2TcTe at its relaxed geometry.

```
4
Lattice="-4.5516 -2.0065 0.3013 1.2071 -2.5174 1.4704 -0.7118 2.2021 3.9107" Properties=species:S:1:pos:R:3 pbc="T T T"
Tc -2.1520 -1.0821 1.4959
Te -1.9044 -1.2397 4.1865
Zn 1.1851 -2.4548 1.5552
Zn 0.2696 -0.2202 2.6058
```

- ρ: 8.291 g cm⁻³
- Energy relative to the elements, uncorrected: 1.55 eV/f.u.
- Space-group type: P2/m, No. 10


A plane-wave DFT calculation with PBE was carried out for crystalline YHoIr2 at its relaxed geometry.

```
4
Lattice="4.8422 0.0000 0.0000 2.4211 4.1935 0.0000 2.4211 1.3978 3.9536" Properties=species:S:1:pos:R:3 pbc="T T T"
Y 4.8422 2.7956 1.9768
Ir 2.4211 1.3978 0.9884
Ir 7.2633 4.1935 2.9652
Ho 0.0000 0.0000 0.0000
```

- Offset from the most stable computed form: 0.027 eV/f.u.
- ρ: 13.202 g cm⁻³
- Space-group type: Fm-3m, No. 225
- Formation energy from the elements: -313 kJ/mol of formula units


A plane-wave DFT calculation with PBE was carried out for crystalline ReH3Br6 at its relaxed geometry.

```
10
Lattice="-7.0677 -0.1188 -2.7389 -2.7550 -4.6275 -5.3352 -1.6858 -4.6714 5.3121" Properties=species:S:1:pos:R:3 pbc="T T T"
Re -5.7542 -4.7089 -1.3810
H -1.9706 -3.3582 2.5584
H -9.5379 -6.0596 -5.3203
H 0.0000 0.0000 0.0000
Br -5.4331 -2.2897 -0.6172
Br -8.2483 -4.8563 -0.8366
Br -6.0754 -7.1280 -2.1447
Br -3.2601 -4.5615 -1.9254
Br -6.2902 -3.9102 -3.6582
Br -5.2182 -5.5075 0.8963
```

- ρ: 3.332 g cm⁻³
- Space-group type: C2/m, No. 12
- Final energy: -3.173 eV/atom


A plane-wave DFT calculation with PBE was carried out for crystalline ZrAs2WBr at its relaxed geometry.

```
5
Lattice="4.8577 0.0000 0.0000 0.0000 4.8577 0.0000 0.0000 0.0000 5.1643" Properties=species:S:1:pos:R:3 pbc="T T T"
As 0.0000 2.4289 0.0000
As 2.4289 0.0000 0.0000
Br 0.0000 0.0000 2.5821
Zr 2.4289 2.4289 2.5821
W 0.0000 0.0000 0.0000
```

- Offset from the most stable computed form: 0.000 eV/f.u.
- ρ: 6.879 g cm⁻³
- Energy relative to the elements, uncorrected: 3.41 eV/f.u.
- Space-group type: P4/mmm, No. 123


A plane-wave DFT calculation with PBE was carried out for crystalline Mg2Nb2Se at its relaxed geometry.

```
5
Lattice="-1.4307 2.4575 2.2894 -3.2690 -0.4478 -1.5622 -3.9357 -4.4725 5.2521" Properties=species:S:1:pos:R:3 pbc="T T T"
Nb -2.6208 0.0689 1.1989
Nb -6.0146 -2.5318 4.7803
Mg -3.8581 -0.5051 3.9525
Mg -4.7773 -1.9578 2.0267
Se 0.0000 0.0000 0.0000
```

- Offset from the most stable computed form: 2.421 eV/f.u.
- ρ: 5.199 g cm⁻³
- Energy relative to the elements, uncorrected: 2.21 eV/f.u.
- Space-group type: I4/mmm, No. 139


A plane-wave DFT calculation with PBE was carried out for crystalline LaFeP2 at its relaxed geometry.

```
4
Lattice="-4.1167 -3.0928 -4.8807 -0.1404 -0.9887 4.4368 -3.7482 0.4189 -0.0334" Properties=species:S:1:pos:R:3 pbc="T T T"
Fe -1.9443 -0.2849 2.2017
La -2.1286 -2.0408 -0.2220
P 0.0000 0.0000 0.0000
P -3.9325 -1.3370 -2.4570
```

- Offset from the most stable computed form: 2.618 eV/f.u.
- ρ: 5.511 g cm⁻³
- Space-group type: C2/m, No. 12
- Formation energy from the elements: -83 kJ/mol of formula units